# 1
Compound: CeHf2CrN4
Source: Alexandria via LeMat-Bulk
Functional: PBE
Structure: relaxed

a b c (Å): 3.2404 5.7779 11.0217
angles (deg): 90.00 90.00 106.28
Closest atoms and distances in Å follow each position.
Positions (direct):
Ce 0.0990 0.1981 0.7500  6 N 2.44-2.66
Ce 0.9010 0.8019 0.2500  6 N 2.44-2.66
Hf 0.3686 0.7372 0.5472  6 N 2.12-2.35
Hf 0.6314 0.2628 0.0472  6 N 2.12-2.35
Hf 0.6314 0.2628 0.4528  6 N 2.12-2.35
Hf 0.3686 0.7372 0.9528  6 N 2.12-2.35
Cr 0.8385 0.6770 0.7500  4 N 1.88-1.94
Cr 0.1615 0.3230 0.2500  4 N 1.88-1.94
N 0.2655 0.5311 0.1149  1 Cr 1.88
N 0.7345 0.4689 0.6149  1 Cr 1.88
N 0.7345 0.4689 0.8851  1 Cr 1.88
N 0.2655 0.5311 0.3851  1 Cr 1.88
N 0.0000 0.0000 0.5000  4 Hf 2.24
N 0.0000 0.0000 0.0000  4 Hf 2.24
N 0.4345 0.8690 0.7500  2 Cr 1.94
N 0.5655 0.1310 0.2500  2 Cr 1.94

Values from the calculation:
calculated total energy = -159.91 eV per cell
total moment = 2.1 μB per cell
formation energy (no corrections) = -1399 meV per atom

***

# 2
Compound: Sr2LiZn3Sb4
Source: Alexandria via LeMat-Bulk
Functional: PBE
Structure: relaxed

a b c (Å): 4.9850 4.9850 10.5003
angles (deg): 90.00 90.00 90.00
Closest atoms and distances in Å follow each position.
Positions (direct):
Sr 0.5000 0.0000 0.2481  9 Sb 3.61-4.00, 7 Zn 3.63-3.85, 2 Li 3.63
Sr 0.0000 0.5000 0.7519  9 Sb 3.61-4.00, 2 Li 3.63, 7 Zn 3.63-3.85
Li 0.5000 0.5000 0.5000  4 Sb 2.84
Zn 0.0000 0.0000 0.5000  4 Sb 2.84
Zn 0.5000 0.0000 0.8814  5 Sb 2.65-2.79
Zn 0.0000 0.5000 0.1186  5 Sb 2.65-2.79
Sb 0.5000 0.5000 0.0000  4 Zn 2.79
Sb 0.0000 0.0000 0.0000  4 Zn 2.79
Sb 0.5000 0.0000 0.6287  3 Zn 2.65-2.84, 2 Li 2.84
Sb 0.0000 0.5000 0.3713  3 Zn 2.65-2.84, 2 Li 2.84

Values from the calculation:
calculated total energy = -30.42 eV per cell
total moment = 0.0 μB per cell
formation energy (no corrections) = -483 meV per atom

***

# 3
Compound: YZnRe2
Source: Alexandria via LeMat-Bulk
Functional: PBE
Structure: relaxed

a b c (Å): 4.3444 3.0488 5.5121
angles (deg): 78.08 90.00 90.00
Closest atoms and distances in Å follow each position.
Positions (direct):
Re 0.0000 0.9023 0.0382  2 Re 2.56, 2 Zn 2.68, 1 Y 2.73
Re 0.5000 0.2114 0.1810  2 Re 2.56, 2 Zn 2.72-2.81
Y 0.0000 0.4870 0.5279  2 Re 2.73-3.00, 4 Zn 2.91-2.92, 2 Y 3.05
Zn 0.5000 0.8993 0.7529  4 Re 2.68-2.81, 4 Y 2.91-2.92

Values from the calculation:
energy of formation from the pure elements = 186 meV/atom
calculated total energy = -31.89 eV per cell
total moment = 0.0 μB per cell